DFT (PBE with a Hubbard U) results for an optimized crystal structure of SrMnH2F8.

ρ	3.07	g cm⁻³
space-group type	P-1
Fermi-level density of states	0.00	states/eV per cell
total energy	-4.97	eV per atom

POSCAR file:
```
SrMnH2F8
1.0
5.059 0.000 0.000
2.058 4.639 0.000
0.974 0.536 6.844
Sr Mn H F
1 1 2 8
direct
0.000 0.000 0.000
0.000 0.000 0.500
0.273 0.271 0.237
0.727 0.729 0.763
0.218 0.764 0.305
0.221 0.219 0.435
0.235 0.782 0.691
0.292 0.287 0.087
0.708 0.713 0.913
0.765 0.218 0.309
0.779 0.781 0.565
0.782 0.236 0.695
```